Entry 1:
VASP calculation (GGA-PBE) on a geometry-optimized BeOsPb2 structure.

Lattice parameters (Å, degrees): 3.3408 4.5509 5.2133 90.00 90.00 90.00
Sites, in units of the cell vectors:
Be: 0.0000 0.0000 0.0000
Os: 0.0000 0.5000 0.5000
Pb: 0.5000 0.0000 0.5000
Pb: 0.5000 0.5000 0.0000

---

Entry 2:
VASP calculation (GGA-PBE) on a geometry-optimized BeOsPb2 structure.

Lattice parameters (Å, degrees): 3.4313 3.4313 6.7544 90.00 90.00 90.00
Sites, in units of the cell vectors:
Be: 0.0000 0.0000 0.0000
Os: 0.0000 0.0000 0.5000
Pb: 0.5000 0.5000 0.2537
Pb: 0.5000 0.5000 0.7463

---

Entry 3:
VASP calculation (GGA-PBE) on a geometry-optimized Be2OsPb structure.

Lattice parameters (Å, degrees): 3.1586 3.3121 6.0208 90.00 90.39 90.00
Sites, in units of the cell vectors:
Be: 0.0000 0.0000 0.0000
Be: 0.0031 0.5000 0.2519
Os: 0.5034 0.0000 0.2723
Pb: 0.5069 0.5000 0.6884

---

Entry 4:
VASP calculation (GGA-PBE) on a geometry-optimized BeOs2Pb structure.

Output
Distance to the lowest polymorph of the same formula in eV/atom: 0.4232

Lattice parameters (Å, degrees): 5.2971 5.2971 5.2971 146.02 131.64 60.41
Sites, in units of the cell vectors:
Be: 0.0000 0.0000 0.0000
Os: 0.1933 0.6933 0.5000
Os: 0.4561 0.4561 0.0000
Pb: 0.7461 0.2461 0.5000

---

Entry 5:
VASP calculation (GGA-PBE) on a geometry-optimized BeOs2Pb structure.

Output
Distance to the lowest polymorph of the same formula in eV/atom: 0.5255

Lattice parameters (Å, degrees): 4.7864 4.7864 4.7864 130.43 130.43 72.72
Sites, in units of the cell vectors:
Be: 0.0000 0.0000 0.0000
Os: 0.2500 0.7500 0.5000
Os: 0.7500 0.2500 0.5000
Pb: 0.5000 0.5000 0.0000

---

Entry 6:
VASP calculation (GGA-PBE) on a geometry-optimized BeOs2Pb structure.

Output
Distance to the lowest polymorph of the same formula in eV/atom: 0.2306

Lattice parameters (Å, degrees): 5.3376 5.3376 5.3376 148.37 129.68 60.66
Sites, in units of the cell vectors:
Be: 0.0000 0.0000 0.0000
Os: 0.2095 0.7095 0.5000
Os: 0.7905 0.2905 0.5000
Pb: 0.5000 0.5000 0.0000

---

Number 1: VASP energy -4.5763 eV per atom, M_tot 0.000 μB/atom. Number 2: VASP energy -4.6083 eV per atom, M_tot 0.000 μB/atom. Number 3: VASP energy -5.2478 eV per atom, M_tot 0.000 μB/atom. Number 4: VASP energy -6.6227 eV per atom, M_tot 0.000 μB/atom. Number 5: VASP energy -6.5204 eV per atom, M_tot 0.000 μB/atom. Number 6: VASP energy -6.8153 eV per atom, M_tot 0.000 μB/atom.